## one
{
  "formula": "Ca2ZrSc",
  "functional": "PBE",
  "state": "relaxed",
  "lattice": [[6.774, 0.001, 0.000], [3.213, 5.963, 0.000], [-4.126, -4.435, 3.032]],
  "species": ["Zr", "Sc", "Ca", "Ca"],
  "frac_coords": [[0.270, 0.770, 0.500], [0.479, 0.479, 0.000], [0.013, 0.013, 0.000], [0.739, 0.239, 0.500]]
}


## two
{
  "formula": "Ca2ZrSc",
  "functional": "PBE",
  "state": "relaxed",
  "lattice": [[8.718, 0.000, 0.000], [0.000, 8.718, 0.000], [4.359, 4.359, 3.188]],
  "species": ["Ca", "Ca", "Ca", "Ca", "Sc", "Sc", "Zr", "Zr"],
  "frac_coords": [[0.375, 0.377, 0.750], [0.623, 0.125, 0.250], [0.127, 0.625, 0.250], [0.875, 0.873, 0.750], [0.250, 0.750, 0.500], [0.500, 0.500, 0.000], [0.750, 0.250, 0.500], [0.000, 0.000, 0.000]]
}


## three
{
  "formula": "Ca2ZrSc",
  "functional": "PBE",
  "state": "relaxed",
  "lattice": [[-4.115, -3.477, -1.238], [-2.275, -3.113, 3.961], [-5.136, 1.064, 1.743]],
  "species": ["Ca", "Ca", "Sc", "Zr"],
  "frac_coords": [[0.750, 0.750, 0.750], [0.250, 0.250, 0.250], [0.000, 0.000, 0.000], [0.500, 0.500, 0.500]]
}


## four
{
  "formula": "Ca2ZrSc",
  "functional": "PBE",
  "state": "relaxed",
  "lattice": [[-2.481, 0.675, -2.545], [1.152, -4.889, -2.420], [-4.095, -2.599, 3.303]],
  "species": ["Sc", "Zr", "Ca", "Ca"],
  "frac_coords": [[0.500, 0.000, 0.500], [0.000, 0.500, 0.500], [0.000, 0.000, 0.000], [0.500, 0.500, 0.000]]
}


Stability, highest: one